Below is a geometry-optimized U2GaIr3 structure, with properties calculated at the PBE level. Values from VASP.

**M_tot**: 3.34 μB/f.u.
**E**: -9.31 eV per atom
**Symmetry**: R-3m

The structure in Quantum ESPRESSO input format:
```
&SYSTEM
  ibrav = 0, nat = 6, ntyp = 3
/
ATOMIC_SPECIES
U 238.03 U.upf
Ga 69.72 Ga.upf
Ir 192.22 Ir.upf
CELL_PARAMETERS angstrom
2.788 1.610 3.926
-2.788 1.610 3.926
0.000 -3.219 3.926
ATOMIC_POSITIONS angstrom
U 0.000 0.000 1.354
U 0.000 0.000 10.425
Ga 0.000 0.000 5.890
Ir -1.394 -0.805 3.926
Ir -1.394 0.805 7.853
Ir 0.000 1.610 3.926
```

Below is a geometry-optimized Ga2IrW structure, with properties calculated at the PBE level. Values from VASP.

**M_tot**: 0.01 μB/f.u.
**E**: -6.77 eV per atom
**Symmetry**: F-43m

The structure in Quantum ESPRESSO input format:
```
&SYSTEM
  ibrav = 0, nat = 4, ntyp = 3
/
ATOMIC_SPECIES
Ga 69.72 Ga.upf
Ir 192.22 Ir.upf
W 183.84 W.upf
CELL_PARAMETERS angstrom
0.000 3.136 3.136
3.136 0.000 3.136
3.136 3.136 0.000
ATOMIC_POSITIONS angstrom
Ga 0.000 0.000 0.000
Ga 1.568 1.568 1.568
Ir 4.704 4.704 4.704
W 3.136 3.136 3.136
```

Below is a geometry-optimized Ga2Ir2W3 structure, with properties calculated at the PBE level. Values from VASP.

**M_tot**: 0.05 μB/f.u.
**E**: -8.99 eV per atom
**Symmetry**: R3m

The structure in Quantum ESPRESSO input format:
```
&SYSTEM
  ibrav = 0, nat = 7, ntyp = 3
/
ATOMIC_SPECIES
Ga 69.72 Ga.upf
Ir 192.22 Ir.upf
W 183.84 W.upf
CELL_PARAMETERS angstrom
2.196 1.268 6.374
-2.196 1.268 6.374
0.000 -2.535 6.374
ATOMIC_POSITIONS angstrom
Ga 0.000 0.000 0.000
Ga 0.000 0.000 8.129
Ir 0.000 0.000 2.707
Ir 0.000 0.000 13.607
W 0.000 0.000 5.391
W 0.000 0.000 10.852
W 0.000 0.000 16.376
```

Below is a geometry-optimized GaIrW2 structure, with properties calculated at the PBE level. Values from VASP.

**M_tot**: 0.00 μB/f.u.
**E**: -9.35 eV per atom
**Symmetry**: F-43m

The structure in Quantum ESPRESSO input format:
```
&SYSTEM
  ibrav = 0, nat = 4, ntyp = 3
/
ATOMIC_SPECIES
Ga 69.72 Ga.upf
Ir 192.22 Ir.upf
W 183.84 W.upf
CELL_PARAMETERS angstrom
0.000 3.135 3.135
3.135 0.000 3.135
3.135 3.135 0.000
ATOMIC_POSITIONS angstrom
Ga 0.000 0.000 0.000
Ir 1.568 1.568 1.568
W 3.135 3.135 3.135
W 4.703 4.703 4.703
```

Below is a geometry-optimized GaIr2W structure, with properties calculated at the PBE level. Values from VASP.

**M_tot**: 0.00 μB/f.u.
**E**: -8.31 eV per atom
**Symmetry**: F-43m

The structure in Quantum ESPRESSO input format:
```
&SYSTEM
  ibrav = 0, nat = 4, ntyp = 3
/
ATOMIC_SPECIES
Ga 69.72 Ga.upf
Ir 192.22 Ir.upf
W 183.84 W.upf
CELL_PARAMETERS angstrom
0.000 3.111 3.111
3.111 0.000 3.111
3.111 3.111 0.000
ATOMIC_POSITIONS angstrom
Ga 0.000 0.000 0.000
Ir 3.111 3.111 3.111
Ir 4.666 4.666 4.666
W 1.555 1.555 1.555
```

Below is a geometry-optimized Y2Ga5Ir3 structure, with properties calculated at the PBE level. Values from VASP.

**M_tot**: 0.01 μB/f.u.
**E**: -6.22 eV per atom
**Symmetry**: Ibam

The structure in Quantum ESPRESSO input format:
```
&SYSTEM
  ibrav = 0, nat = 20, ntyp = 3
/
ATOMIC_SPECIES
Y 88.91 Y.upf
Ga 69.72 Ga.upf
Ir 192.22 Ir.upf
CELL_PARAMETERS angstrom
-4.938 6.424 2.854
4.938 -6.424 2.854
4.938 6.424 -2.854
ATOMIC_POSITIONS angstrom
Y 2.252 1.836 0.000
Y 2.252 -1.836 2.854
Y 2.686 8.260 0.000
Y 2.686 4.589 2.854
Ga 4.938 -2.592 1.427
Ga 6.710 1.091 0.000
Ga 0.000 0.000 1.427
Ga 1.772 5.333 0.000
Ga 4.938 2.592 1.427
Ga 0.000 3.832 1.427
Ga 3.166 1.091 2.854
Ga 0.000 0.000 4.282
Ga -1.772 5.333 2.854
Ga 0.000 9.016 1.427
Ir 4.059 -4.474 2.854
Ir 4.938 0.000 1.427
Ir 4.059 4.474 0.000
Ir 0.879 1.951 2.854
Ir 0.000 6.424 1.427
Ir 0.879 10.898 0.000
```